Entry from Alexandria via LeMat-Bulk: an optimized crystal structure of La16Er7Tm6 (PBE).

Unit cell a=16.1530 b=16.1530 c=16.1530 alpha=90.00 beta=90.00 gamma=90.00
Closest atoms and distances in Å follow each position.
Space group Fm-3m (No. 225)
Unique sites:
1 La 0.1249 0.1249 0.1249 (multiplicity 32)  4 Er 3.49-3.50, 3 Tm 3.57, 3 La 3.73
2 La 0.1463 0.1463 0.3537 (multiplicity 32)  3 Er 3.35, 3 Tm 3.69, 3 La 3.73
3 Er 0.0000 0.0000 0.0000 (multiplicity 4)  8 La 3.49
4 Er 0.0000 0.2500 0.2500 (multiplicity 24)  8 La 3.35-3.50
5 Tm 0.0000 0.0000 0.2575 (multiplicity 24)  8 La 3.57-3.69

Output
DFT formation energy ... 18.38 kJ/mol of atoms
E ... -528.33 eV for the cell shown